Entry 1:
Li2IrBr6 | PBE-GGA | relaxed

```
Li2IrBr6
1.0
7.5988 -6.5596 0.0000
7.5988 6.5596 0.0000
-2.0167 0.0000 5.9188
Li Ir Br
4 2 12
Cartesian
4.8028 5.3635 5.1939
7.3697 5.3635 3.6843
5.8112 -5.3635 2.2345
8.3780 -5.3635 0.7249
6.0863 0.9911 4.4391
7.0946 -0.9911 1.4797
0.5092 1.1915 3.2636
4.3139 2.6388 4.8747
1.5176 -1.1915 0.3042
5.4313 0.8386 2.0323
7.8586 2.6388 4.0035
4.4229 -0.8386 4.9917
8.7579 0.8386 0.9271
5.3223 -2.6388 1.9153
7.7496 -0.8386 3.8866
11.6633 1.1915 5.6146
8.8670 -2.6388 1.0441
12.6716 -1.1915 2.6552
```

- ΔE_f (raw): -0.706 eV/atom
- Magnetic moment: 0.08 μB/atom
- SG: C2/c


Entry 2:
LiIrBr | PBE-GGA | relaxed

```
LiIrBr
1.0
0.0000 2.3254 8.1446
1.4998 0.0000 8.1446
1.4998 2.3254 0.0000
Li Ir Br
1 1 1
Cartesian
0.0000 0.0000 0.0000
1.4998 2.3254 10.2336
1.4998 2.3254 6.0278
```

- E above lowest polymorph: 0.09 eV/f.u.
- ΔE_f (raw): 0.278 eV/atom
- Magnetic moment: 0.09 μB/atom
- SG: Fmm2


Entry 3:
LiIr3Br | PBE-GGA | relaxed

```
LiIr3Br
1.0
4.6348 0.0000 0.0000
0.0000 4.6348 0.0000
0.0000 0.0000 4.6348
Li Ir Br
1 3 1
Cartesian
0.0000 0.0000 0.0000
0.0000 2.3174 2.3174
2.3174 0.0000 2.3174
2.3174 2.3174 0.0000
2.3174 2.3174 2.3174
```

- E above lowest polymorph: 0.10 eV/f.u.
- ΔE_f (raw): 1.597 eV/atom
- Magnetic moment: 0.00 μB/atom
- SG: Pm-3m


Entry 4:
Li2IrBr | PBE-GGA | relaxed

```
Li2IrBr
1.0
3.2296 0.0000 0.0000
0.0000 3.2296 0.0000
0.0000 0.0000 6.6841
Li Ir Br
2 1 1
Cartesian
0.0000 0.0000 0.0000
1.6148 1.6148 1.5823
1.6148 1.6148 5.3980
0.0000 0.0000 2.5562
```

- E above lowest polymorph: 1.14 eV/f.u.
- ΔE_f (raw): 0.027 eV/atom
- Magnetic moment: 0.31 μB/atom
- SG: P4mm


Entry 5:
LiIrBr | PBE-GGA | relaxed

```
LiIrBr
1.0
-1.4750 1.4750 5.7853
1.4750 -1.4750 5.7853
1.4750 1.4750 -5.7853
Li Ir Br
1 1 1
Cartesian
0.0000 0.0000 0.0000
0.0000 0.0000 7.5606
0.0000 0.0000 3.7328
```

- E above lowest polymorph: 0.51 eV/f.u.
- ΔE_f (raw): 0.420 eV/atom
- Magnetic moment: 0.00 μB/atom
- SG: I4mm


Entry 6:
Li2IrBr | PBE-GGA | relaxed

```
Li2IrBr
1.0
-1.9997 1.9997 3.8517
1.9997 -1.9997 3.8517
1.9997 1.9997 -3.8517
Li Ir Br
2 1 1
Cartesian
1.9997 0.0000 1.9259
0.0000 1.9997 1.9259
0.0000 0.0000 0.0000
0.0000 0.0000 3.8517
```

- E above lowest polymorph: 1.30 eV/f.u.
- ΔE_f (raw): 0.067 eV/atom
- Magnetic moment: 0.00 μB/atom
- SG: I4/mmm


Entry 7:
Li2IrBr | PBE-GGA | relaxed

```
Li2IrBr
1.0
2.9324 0.0000 0.0000
0.0000 2.9324 0.0000
0.0000 0.0000 7.5461
Li Ir Br
2 1 1
Cartesian
0.0000 0.0000 1.8562
0.0000 0.0000 5.6899
1.4662 1.4662 0.0000
1.4662 1.4662 3.7731
```

- E above lowest polymorph: 0.38 eV/f.u.
- ΔE_f (raw): -0.161 eV/atom
- Magnetic moment: 0.00 μB/atom
- SG: P4/mmm


Entry 8:
Li2IrBr | PBE-GGA | relaxed

```
Li2IrBr
1.0
-3.5251 3.5251 2.6449
3.5251 -3.5251 2.6449
3.5251 3.5251 -2.6449
Li Ir Br
4 2 2
Cartesian
5.2877 1.6744 -0.6612
1.6744 1.7626 0.6612
-1.7626 1.8508 1.9837
1.8508 1.7626 3.3061
3.5251 0.0000 1.3224
0.0000 0.0000 2.6449
0.0000 0.0000 0.0000
0.0000 3.5251 1.3224
```

- E above lowest polymorph: 1.29 eV/f.u.
- ΔE_f (raw): 0.066 eV/atom
- Magnetic moment: 0.00 μB/atom
- SG: I-42d


Entry 9:
LiIrBr | PBE-GGA | relaxed

```
LiIrBr
1.0
4.3264 0.0000 0.0000
-2.1632 3.7468 0.0000
0.0000 0.0000 3.1454
Li Ir Br
1 1 1
Cartesian
0.0000 0.0000 0.0000
0.0000 2.4978 1.5727
2.1632 1.2489 1.5727
```

- E above lowest polymorph: 0.06 eV/f.u.
- ΔE_f (raw): 0.270 eV/atom
- Magnetic moment: 0.00 μB/atom
- SG: P-6m2


Entry 10:
Li2IrBr | PBE-GGA | relaxed

```
Li2IrBr
1.0
3.2733 0.0000 0.0000
0.0000 3.3421 0.0000
0.0000 0.0000 5.5105
Li Ir Br
2 1 1
Cartesian
0.0000 0.0000 1.2903
0.0000 0.0000 4.2202
1.6367 1.6710 0.0000
1.6367 1.6710 2.7552
```

- E above lowest polymorph: 0.22 eV/f.u.
- ΔE_f (raw): -0.203 eV/atom
- Magnetic moment: 0.00 μB/atom
- SG: Pmmm


Entry 11:
Li2IrBr | PBE-GGA | relaxed

```
Li2IrBr
1.0
4.1177 0.0000 0.0000
0.0000 4.1177 0.0000
0.0000 0.0000 3.4709
Li Ir Br
2 1 1
Cartesian
0.0000 2.0589 0.0000
2.0589 0.0000 0.0000
0.0000 0.0000 1.7354
2.0589 2.0589 1.7354
```

- E above lowest polymorph: 0.89 eV/f.u.
- ΔE_f (raw): -0.035 eV/atom
- Magnetic moment: 0.00 μB/atom
- SG: P4/mmm


Entry 12:
Li2IrBr | PBE-GGA | relaxed

```
Li2IrBr
1.0
4.1620 -1.5665 0.0000
4.1620 1.5665 0.0000
-1.2091 0.0000 4.8878
Li Ir Br
2 1 1
Cartesian
1.7458 0.0000 1.3270
5.3690 0.0000 3.5607
-0.6046 0.0000 2.4439
4.1620 0.0000 0.0000
```

- E above lowest polymorph: 1.12 eV/f.u.
- ΔE_f (raw): 0.023 eV/atom
- Magnetic moment: 0.00 μB/atom
- SG: C2/m


Entry 13:
Li2IrBr | PBE-GGA | relaxed

```
Li2IrBr
1.0
6.0042 -1.4755 0.0000
6.0042 1.4755 0.0000
-1.4877 0.0000 4.0067
Li Ir Br
2 1 1
Cartesian
0.0000 0.0000 0.0000
1.0377 0.0000 2.6638
8.2198 0.0000 0.8212
4.1608 0.0000 1.5883
```

- E above lowest polymorph: 0.75 eV/f.u.
- ΔE_f (raw): -0.070 eV/atom
- Magnetic moment: 0.00 μB/atom
- SG: Cm


Entry 14:
Li2IrBr | PBE-GGA | relaxed

```
Li2IrBr
1.0
1.5185 -2.3991 0.0000
1.5185 2.3991 0.0000
0.0000 0.0000 10.5790
Li Ir Br
2 1 1
Cartesian
0.0000 0.0000 0.0000
1.5185 0.0000 2.8108
1.5185 0.0000 8.5695
0.0000 0.0000 4.6760
```

- E above lowest polymorph: 1.86 eV/f.u.
- ΔE_f (raw): 0.208 eV/atom
- Magnetic moment: 0.13 μB/atom
- SG: Cmm2


Entry 15:
Li2IrBr | PBE-GGA | relaxed

```
Li2IrBr
1.0
2.7026 -3.8187 0.0000
2.7026 3.8187 0.0000
0.0000 0.0000 3.0251
Li Ir Br
2 1 1
Cartesian
1.3513 1.9093 0.0000
1.3513 -1.9093 0.0000
0.0000 0.0000 1.5126
2.7026 0.0000 1.5126
```

- E above lowest polymorph: 0.64 eV/f.u.
- ΔE_f (raw): -0.096 eV/atom
- Magnetic moment: 0.09 μB/atom
- SG: Cmmm


Entry 16:
Li4IrBr | PBE-GGA | relaxed

```
Li4IrBr
1.0
0.0000 3.5525 3.5525
3.5525 0.0000 3.5525
3.5525 3.5525 0.0000
Li Ir Br
4 1 1
Cartesian
2.6953 2.6953 2.6953
4.4096 4.4096 2.6953
4.4096 2.6953 4.4096
2.6953 4.4096 4.4096
5.3287 5.3287 5.3287
0.0000 0.0000 0.0000
```

- ΔE_f (raw): 0.126 eV/atom
- Magnetic moment: 0.02 μB/atom
- SG: F-43m


Entry 17:
Li5IrBrN2 | PBE-GGA | relaxed

```
Li5IrBrN2
1.0
4.2321 0.0000 0.0000
0.0000 4.2321 0.0000
0.0000 0.0000 7.6931
Li Ir Br N
5 1 1 2
Cartesian
0.0000 0.0000 0.0000
0.0000 2.1161 2.1319
0.0000 2.1161 5.5611
2.1161 0.0000 2.1319
2.1161 0.0000 5.5611
0.0000 0.0000 3.8465
2.1161 2.1161 0.0000
0.0000 0.0000 1.9880
0.0000 0.0000 5.7050
```

- ΔE_f (raw): -0.557 eV/atom
- Magnetic moment: 0.11 μB/atom
- SG: P4/mmm


Entry 18:
Li2NbIrBr | PBE-GGA | relaxed

```
Li2NbIrBr
1.0
4.1421 0.0000 0.0000
0.0000 4.1421 0.0000
0.0000 0.0000 5.2025
Li Nb Ir Br
2 1 1 1
Cartesian
0.0000 2.0710 0.0000
2.0710 0.0000 0.0000
0.0000 0.0000 2.6012
2.0710 2.0710 2.6012
0.0000 0.0000 0.0000
```

- ΔE_f (raw): 0.410 eV/atom
- Magnetic moment: 0.00 μB/atom
- SG: P4/mmm


Entry 19:
Li2IrPbBr8 | PBE-GGA | relaxed

```
Li2IrPbBr8
1.0
6.4775 0.0000 0.0000
0.0000 8.2789 0.0000
-0.7205 0.0000 6.6794
Li Ir Pb Br
2 1 1 8
Cartesian
0.0000 1.9867 0.0000
0.0000 6.2921 0.0000
-0.3603 4.1394 3.3397
-0.3603 0.0000 3.3397
1.2214 4.1394 1.4016
1.0155 2.4014 4.5203
1.0155 5.8774 4.5203
1.5045 0.0000 1.0587
4.2525 0.0000 5.6207
4.7415 2.4014 2.1591
4.7415 5.8774 2.1591
4.5356 4.1394 5.2779
```

- ΔE_f (raw): -0.795 eV/atom
- Magnetic moment: 0.00 μB/atom
- SG: P2/m


Entry 20:
Rb2LiIrBr6 | PBE-GGA | relaxed

```
Rb2LiIrBr6
1.0
0.0000 5.3184 5.3184
5.3184 0.0000 5.3184
5.3184 5.3184 0.0000
Rb Li Ir Br
2 1 1 6
Cartesian
2.6592 2.6592 2.6592
7.9776 7.9776 7.9776
0.0000 0.0000 0.0000
5.3184 5.3184 5.3184
5.3184 5.3184 2.7927
5.3184 2.7927 5.3184
7.8441 5.3184 5.3184
2.7927 5.3184 5.3184
5.3184 7.8441 5.3184
5.3184 5.3184 7.8441
```

- ΔE_f (raw): -1.059 eV/atom
- Magnetic moment: 0.00 μB/atom
- SG: Fm-3m


| no. | mass density (g/cm3) |
| --- | --- |
| 1 | 3.86 |
| 2 | 8.16 |
| 3 | 11.07 |
| 4 | 6.81 |
| 5 | 9.20 |
| 6 | 7.71 |
| 7 | 7.32 |
| 8 | 7.22 |
| 9 | 9.09 |
| 10 | 7.88 |
| 11 | 8.07 |
| 12 | 7.45 |
| 13 | 6.69 |
| 14 | 6.16 |
| 15 | 7.61 |
| 16 | 5.55 |
| 17 | 4.04 |
| 18 | 7.05 |
| 19 | 4.88 |
| 20 | 4.69 |